(1)
The following is a PBE calculation of a relaxed LaCu2Ni2 crystal, from Alexandria via LeMat-Bulk. Values from VASP.

Energy above the most stable polymorph in this dataset, meV/atom: 139
V, Å³/atom: 15.02
Density of states at the Fermi level, states/eV per atom: 0.4784
E, eV/atom: -4.972
Formation energy from the elements, meV per atom: -35

```
&SYSTEM
  ibrav = 0, nat = 10, ntyp = 3
/
ATOMIC_SPECIES
La 138.91 La.upf
Cu 63.55 Cu.upf
Ni 58.69 Ni.upf
CELL_PARAMETERS angstrom
7.191 0.000 0.000
0.000 7.191 0.000
0.000 0.000 2.904
ATOMIC_POSITIONS angstrom
La 0.000 0.000 0.000
La 3.596 3.596 0.000
Cu 0.917 2.679 1.452
Cu 2.679 6.274 1.452
Cu 4.513 0.917 1.452
Cu 6.274 4.513 1.452
Ni 1.164 4.760 0.000
Ni 2.431 1.164 0.000
Ni 4.760 6.027 0.000
Ni 6.027 2.431 0.000
```

---

(2)
The following is a PBE calculation of a relaxed LaCu2Ni2 crystal, from Alexandria via LeMat-Bulk. Values from VASP.

Energy above the most stable polymorph in this dataset, meV/atom: 50
V, Å³/atom: 16.49
Density of states at the Fermi level, states/eV per atom: 0.6371
E, eV/atom: -5.060
Formation energy from the elements, meV per atom: -124

```
&SYSTEM
  ibrav = 0, nat = 5, ntyp = 3
/
ATOMIC_SPECIES
La 138.91 La.upf
Cu 63.55 Cu.upf
Ni 58.69 Ni.upf
CELL_PARAMETERS angstrom
-2.061 2.061 4.850
2.061 -2.061 4.850
2.061 2.061 -4.850
ATOMIC_POSITIONS angstrom
La 0.000 0.000 0.000
Cu 0.000 0.000 3.659
Cu 0.000 0.000 6.041
Ni 2.061 0.000 2.425
Ni 0.000 2.061 2.425
```

---

(3)
The following is a PBE calculation of a relaxed La2CuNi crystal, from Alexandria via LeMat-Bulk. Values from VASP.

V, Å³/atom: 25.37
Density of states at the Fermi level, states/eV per atom: 0.8134
E, eV/atom: -4.866
Formation energy from the elements, meV per atom: 67

```
&SYSTEM
  ibrav = 0, nat = 8, ntyp = 3
/
ATOMIC_SPECIES
La 138.91 La.upf
Cu 63.55 Cu.upf
Ni 58.69 Ni.upf
CELL_PARAMETERS angstrom
-3.809 3.809 3.498
3.809 -3.809 3.498
3.809 3.809 -3.498
ATOMIC_POSITIONS angstrom
La 1.904 1.726 -0.874
La 2.083 -1.904 4.372
La 1.904 2.083 2.623
La 1.726 5.713 0.874
Cu 3.809 0.000 1.749
Cu 0.000 0.000 3.498
Ni 0.000 0.000 0.000
Ni 0.000 3.809 1.749
```

---

(4)
The following is a PBE calculation of a relaxed La2CuNi crystal, from Alexandria via LeMat-Bulk. Values from VASP.

V, Å³/atom: 26.23
Density of states at the Fermi level, states/eV per atom: 0.5956
E, eV/atom: -5.059
Formation energy from the elements, meV per atom: -126

```
&SYSTEM
  ibrav = 0, nat = 4, ntyp = 3
/
ATOMIC_SPECIES
La 138.91 La.upf
Cu 63.55 Cu.upf
Ni 58.69 Ni.upf
CELL_PARAMETERS angstrom
3.600 -2.075 0.000
3.600 2.075 0.000
-2.377 0.000 7.022
ATOMIC_POSITIONS angstrom
La 1.204 0.000 1.624
La 3.619 0.000 5.398
Cu -1.189 0.000 3.511
Ni 3.600 0.000 0.000
```

---

(5)
The following is a PBE calculation of a relaxed La2Cu5Ni12 crystal, from Alexandria via LeMat-Bulk. Values from VASP.

V, Å³/atom: 13.36
Density of states at the Fermi level, states/eV per atom: 1.3702
E, eV/atom: -5.388
Formation energy from the elements, meV per atom: -140

```
&SYSTEM
  ibrav = 0, nat = 19, ntyp = 3
/
ATOMIC_SPECIES
La 138.91 La.upf
Cu 63.55 Cu.upf
Ni 58.69 Ni.upf
CELL_PARAMETERS angstrom
4.228 2.441 4.100
-4.228 2.441 4.100
0.000 -4.882 4.100
ATOMIC_POSITIONS angstrom
La 0.000 0.000 1.924
La 0.000 0.000 10.375
Cu -2.114 -1.220 4.100
Cu 0.000 0.000 4.963
Cu -2.114 1.220 8.200
Cu 0.000 2.441 4.100
Cu 0.000 0.000 7.337
Ni 0.000 -2.443 3.963
Ni -2.116 1.222 3.963
Ni -1.227 -2.124 6.150
Ni -2.453 0.000 6.150
Ni -2.116 -1.222 8.337
Ni 1.227 -2.124 6.150
Ni -1.227 2.124 6.150
Ni 2.116 1.222 3.963
Ni 2.453 0.000 6.150
Ni 1.227 2.124 6.150
Ni 2.116 -1.222 8.337
Ni 0.000 2.443 8.337
```

---

(6)
The following is a PBE calculation of a relaxed La4Cu5Ni2 crystal, from Alexandria via LeMat-Bulk. Values from VASP.

V, Å³/atom: 21.37
Density of states at the Fermi level, states/eV per atom: 0.5777
E, eV/atom: -4.905
Formation energy from the elements, meV per atom: -201

```
&SYSTEM
  ibrav = 0, nat = 11, ntyp = 3
/
ATOMIC_SPECIES
La 138.91 La.upf
Cu 63.55 Cu.upf
Ni 58.69 Ni.upf
CELL_PARAMETERS angstrom
7.064 0.000 0.000
0.000 4.040 0.000
-0.255 0.000 8.235
ATOMIC_POSITIONS angstrom
La 1.577 0.000 1.214
La 1.596 0.000 5.169
La 5.213 0.000 3.066
La 5.232 0.000 7.021
Cu 0.690 2.020 7.330
Cu 2.817 2.020 3.045
Cu 3.532 2.020 0.000
Cu 3.992 2.020 5.190
Cu 6.119 2.020 0.905
Ni 0.347 2.020 3.016
Ni 6.462 2.020 5.219
```

---

(7)
The following is a PBE calculation of a relaxed La2Cu5Ni5 crystal, from Alexandria via LeMat-Bulk. Values from VASP.

Energy above the most stable polymorph in this dataset, meV/atom: 2
V, Å³/atom: 15.02
Density of states at the Fermi level, states/eV per atom: 0.6033
E, eV/atom: -5.188
Formation energy from the elements, meV per atom: -251

```
&SYSTEM
  ibrav = 0, nat = 12, ntyp = 3
/
ATOMIC_SPECIES
La 138.91 La.upf
Cu 63.55 Cu.upf
Ni 58.69 Ni.upf
CELL_PARAMETERS angstrom
3.982 0.000 0.000
0.000 5.125 0.000
0.000 0.000 8.832
ATOMIC_POSITIONS angstrom
La 0.000 0.000 0.000
La 0.000 2.563 4.416
Cu 0.000 0.000 2.912
Cu 0.000 0.000 5.920
Cu 0.000 2.563 1.478
Cu 0.000 2.563 7.354
Cu 1.991 0.000 4.416
Ni 1.991 1.288 2.199
Ni 1.991 1.288 6.633
Ni 1.991 2.563 0.000
Ni 1.991 3.837 2.199
Ni 1.991 3.837 6.633
```

---

(8)
The following is a PBE calculation of a relaxed La3Cu3Ni2 crystal, from Alexandria via LeMat-Bulk. Values from VASP.

V, Å³/atom: 21.44
Density of states at the Fermi level, states/eV per atom: 0.7692
E, eV/atom: -5.095
Formation energy from the elements, meV per atom: -266

```
&SYSTEM
  ibrav = 0, nat = 16, ntyp = 3
/
ATOMIC_SPECIES
La 138.91 La.upf
Cu 63.55 Cu.upf
Ni 58.69 Ni.upf
CELL_PARAMETERS angstrom
2.039 -5.344 0.000
2.039 5.344 0.000
0.000 0.000 15.743
ATOMIC_POSITIONS angstrom
La 2.039 4.264 11.807
La 2.039 1.400 9.282
La 2.039 1.400 14.333
La 2.039 -1.400 1.410
La 2.039 -1.400 6.461
La 2.039 -4.264 3.936
Cu 2.039 4.431 8.710
Cu 2.039 4.431 14.905
Cu 2.039 3.310 3.936
Cu 2.039 -3.310 11.807
Cu 2.039 -4.431 0.838
Cu 2.039 -4.431 7.033
Ni 2.039 1.860 1.866
Ni 2.039 1.860 6.006
Ni 2.039 -1.860 9.737
Ni 2.039 -1.860 13.877
```

---

(9)
The following is a PBE calculation of a relaxed La2Cu5Ni crystal, from Alexandria via LeMat-Bulk. Values from VASP.

V, Å³/atom: 18.21
Density of states at the Fermi level, states/eV per atom: 0.6267
E, eV/atom: -4.676
Formation energy from the elements, meV per atom: -161

```
&SYSTEM
  ibrav = 0, nat = 16, ntyp = 3
/
ATOMIC_SPECIES
La 138.91 La.upf
Cu 63.55 Cu.upf
Ni 58.69 Ni.upf
CELL_PARAMETERS angstrom
2.093 -7.781 0.000
2.093 7.781 0.000
0.000 0.000 8.947
ATOMIC_POSITIONS angstrom
La 0.000 0.000 0.000
La 0.000 0.000 4.473
La 2.093 4.664 6.710
La 2.093 -4.664 2.237
Cu 2.093 4.972 1.025
Cu 2.093 4.972 3.448
Cu 2.093 2.396 0.159
Cu 2.093 2.396 4.315
Cu 2.093 1.529 6.710
Cu 2.093 -1.529 2.237
Cu 2.093 -2.396 4.632
Cu 2.093 -2.396 8.788
Cu 2.093 -4.972 5.499
Cu 2.093 -4.972 7.922
Ni 2.093 0.981 2.237
Ni 2.093 -0.981 6.710
```

---

(10)
The following is a PBE calculation of a relaxed La2CuNi crystal, from Alexandria via LeMat-Bulk. Values from VASP.

V, Å³/atom: 23.36
Density of states at the Fermi level, states/eV per atom: 1.0630
E, eV/atom: -5.118
Formation energy from the elements, meV per atom: -185

```
&SYSTEM
  ibrav = 0, nat = 4, ntyp = 3
/
ATOMIC_SPECIES
La 138.91 La.upf
Cu 63.55 Cu.upf
Ni 58.69 Ni.upf
CELL_PARAMETERS angstrom
3.589 0.000 0.000
0.000 3.612 0.000
-0.031 0.000 7.207
ATOMIC_POSITIONS angstrom
La -0.003 0.000 1.874
La 3.561 0.000 5.334
Cu 1.794 1.806 0.000
Ni 1.779 1.806 3.604
```

---

(11)
The following is a PBE calculation of a relaxed La3CuNi crystal, from Alexandria via LeMat-Bulk. Values from VASP.

Energy above the most stable polymorph in this dataset, meV/atom: 329
V, Å³/atom: 31.54
Density of states at the Fermi level, states/eV per atom: 1.8413
E, eV/atom: -4.782
Formation energy from the elements, meV per atom: 149

```
&SYSTEM
  ibrav = 0, nat = 5, ntyp = 3
/
ATOMIC_SPECIES
La 138.91 La.upf
Cu 63.55 Cu.upf
Ni 58.69 Ni.upf
CELL_PARAMETERS angstrom
5.403 0.000 0.000
0.000 5.403 0.000
0.000 0.000 5.403
ATOMIC_POSITIONS angstrom
La 0.000 0.000 2.701
La 0.000 2.701 0.000
La 2.701 0.000 0.000
Cu 2.701 2.701 2.701
Ni 0.000 0.000 0.000
```

---

(12)
The following is a PBE calculation of a relaxed La2Cu3Ni2 crystal, from Alexandria via LeMat-Bulk. Values from VASP.

Energy above the most stable polymorph in this dataset, meV/atom: 5
V, Å³/atom: 19.34
Density of states at the Fermi level, states/eV per atom: 0.5547
E, eV/atom: -5.048
Formation energy from the elements, meV per atom: -232

```
&SYSTEM
  ibrav = 0, nat = 7, ntyp = 3
/
ATOMIC_SPECIES
La 138.91 La.upf
Cu 63.55 Cu.upf
Ni 58.69 Ni.upf
CELL_PARAMETERS angstrom
5.110 -2.065 0.000
5.110 2.065 0.000
-1.459 0.000 6.414
ATOMIC_POSITIONS angstrom
La 1.385 0.000 1.315
La 7.376 0.000 5.100
Cu 0.023 0.000 4.364
Cu 4.381 0.000 3.207
Cu 8.739 0.000 2.050
Ni 4.266 0.000 0.824
Ni 4.495 0.000 5.590
```

---

- Number 3 is which compound?
  La2CuNi

---

- Among the records above, which one has the lowest density of states at the Fermi level?
  number 1